1.
{
  "formula": "Mn2Cu2Au",
  "functional": "PBE-GGA",
  "state": "relaxed",
  "dft_energy_ev_per_cell": -27.60,
  "density_g_cm3": 10.485,
  "formation_enthalpy_0k_ev_per_atom": 0.441,
  "dos_ef_per_ev_fu": 3.97,
  "space_group": "I4/mmm, No. 139",
  "lattice_angstrom": [[-1.567, 1.567, 7.000], [1.567, -1.567, 7.000], [1.567, 1.567, -7.000]],
  "species": ["Mn", "Mn", "Cu", "Cu", "Au"],
  "frac_coords": [[0.250, 0.750, 0.500], [0.750, 0.250, 0.500], [0.106, 0.106, 0.000], [0.894, 0.894, 0.000], [0.500, 0.500, 0.000]]
}

2.
{
  "formula": "SrIn2Hg",
  "functional": "PBE-GGA",
  "state": "relaxed",
  "dft_energy_ev_per_cell": -8.65,
  "density_g_cm3": 7.488,
  "formation_enthalpy_0k_ev_per_atom": -0.297,
  "dos_ef_per_ev_fu": 3.26,
  "space_group": "Pmmm, No. 47",
  "lattice_angstrom": [[4.733, 0.000, 0.000], [0.000, 4.747, 0.000], [0.000, 0.000, 5.111]],
  "species": ["Sr", "In", "In", "Hg"],
  "frac_coords": [[0.000, 0.000, 0.000], [0.000, 0.500, 0.500], [0.500, 0.000, 0.500], [0.500, 0.500, 0.000]]
}

3.
{
  "formula": "Ce3YPu2Te6",
  "functional": "PBE-GGA",
  "state": "relaxed",
  "dft_energy_ev_per_cell": -87.03,
  "formation_energy_uncorrected_kcal_per_mol_atoms": -29.3,
  "density_g_cm3": 7.831,
  "dos_ef_per_ev_fu": 40.73,
  "space_group": "C2/m, No. 12",
  "lattice_angstrom": [[3.826, -6.627, 0.000], [3.826, 6.627, 0.000], [-2.552, 0.000, 7.371]],
  "species": ["Ce", "Ce", "Ce", "Y", "Pu", "Pu", "Te", "Te", "Te", "Te", "Te", "Te"],
  "frac_coords": [[0.000, 0.000, 0.000], [0.332, 0.668, 0.000], [0.668, 0.332, 0.000], [0.500, 0.500, 0.500], [0.166, 0.834, 0.500], [0.834, 0.166, 0.500], [0.088, 0.419, 0.258], [0.250, 0.250, 0.744], [0.419, 0.088, 0.258], [0.581, 0.912, 0.742], [0.750, 0.750, 0.256], [0.912, 0.581, 0.742]]
}

4.
{
  "formula": "BaIn2GeS6",
  "functional": "PBE-GGA",
  "state": "relaxed",
  "dft_energy_ev_per_cell": -44.33,
  "formation_energy_uncorrected_kcal_per_mol_atoms": -17.4,
  "density_g_cm3": 3.819,
  "space_group": "P1, No. 1",
  "lattice_angstrom": [[6.466, 0.000, 0.000], [2.756, 6.147, 0.000], [1.556, 2.007, 6.914]],
  "species": ["Ba", "In", "In", "Ge", "S", "S", "S", "S", "S", "S"],
  "frac_coords": [[0.000, 0.000, 0.000], [0.207, 0.203, 0.393], [0.740, 0.785, 0.630], [0.608, 0.622, 0.204], [0.058, 0.888, 0.437], [0.366, 0.502, 0.139], [0.391, 0.097, 0.687], [0.492, 0.995, 0.140], [0.773, 0.460, 0.495], [0.899, 0.549, 0.968]]
}